No. 1
Entry from the Alexandria database: a relaxed LiNdLuPd crystal (PBE-GGA).

Cell: 5.065 5.065 5.065 Å, 60.00 60.00 60.00°
Fractional positions:
1 Lu 0.750 0.750 0.750
2 Pd 0.500 0.500 0.500
3 Nd 0.250 0.250 0.250
4 Li 0.000 0.000 0.000

## Properties
Fermi-level density of states: 2.9 states/eV/cell
Energy: -4.482 eV per atom
Space group: F-43m (216)

No. 2
Entry from the Alexandria database: a relaxed LiPrNdLu crystal (PBE-GGA).

Cell: 5.569 5.569 5.569 Å, 60.00 60.00 60.00°
Fractional positions:
1 Pr 0.250 0.250 0.250
2 Lu 0.500 0.500 0.500
3 Nd 0.750 0.750 0.750
4 Li 0.000 0.000 0.000

## Properties
Fermi-level density of states: 4.3 states/eV/cell
Energy: -3.862 eV per atom
Space group: F-43m (216)